Crystalline Zn2Pt at its relaxed geometry, computed with PBE.

## Properties
Energy of formation: -375 meV per atom
Crystal system: hexagonal

Cell and atoms, written as POSCAR:
```
Zn2Pt
1.0
4.3943 0.0000 0.0000
-2.1971 3.8056 0.0000
0.0000 0.0000 5.3610
Zn Pt
4 2
direct
0.0000 0.0000 0.0000 Zn
0.0000 0.0000 0.5000 Zn
0.3333 0.6667 0.2500 Zn
0.6667 0.3333 0.7500 Zn
0.3333 0.6667 0.7500 Pt
0.6667 0.3333 0.2500 Pt
```

---

Crystalline Zn5Pt3 at its relaxed geometry, computed with PBE.

## Properties
Energy of formation: -392 meV per atom
Energy above the most stable polymorph in this dataset: 60 kJ/mol of formula units
Crystal system: hexagonal

Cell and atoms, written as POSCAR:
```
Zn5Pt3
1.0
7.6551 0.0000 0.0000
-3.8276 6.6296 0.0000
0.0000 0.0000 4.9288
Zn Pt
10 6
direct
0.0000 0.2515 0.2500 Zn
0.0000 0.7485 0.7500 Zn
0.2515 0.0000 0.2500 Zn
0.2515 0.2515 0.7500 Zn
0.3333 0.6667 0.0000 Zn
0.3333 0.6667 0.5000 Zn
0.6667 0.3333 0.0000 Zn
0.6667 0.3333 0.5000 Zn
0.7485 0.0000 0.7500 Zn
0.7485 0.7485 0.2500 Zn
0.0000 0.3832 0.7500 Pt
0.0000 0.6168 0.2500 Pt
0.3832 0.0000 0.7500 Pt
0.3832 0.3832 0.2500 Pt
0.6168 0.0000 0.2500 Pt
0.6168 0.6168 0.7500 Pt
```

---

Crystalline Zn12Pt7 at its relaxed geometry, computed with PBE.

## Properties
Energy of formation: -489 meV per atom
Crystal system: orthorhombic

Cell and atoms, written as POSCAR:
```
Zn12Pt7
1.0
7.0526 0.0000 0.0000
0.0000 29.1798 0.0000
0.0000 0.0000 2.7965
Zn Pt
24 14
direct
0.1226 0.0715 0.0000 Zn
0.1292 0.6433 0.0000 Zn
0.1395 0.2159 0.0000 Zn
0.1835 0.4918 0.0000 Zn
0.2295 0.8009 0.0000 Zn
0.2450 0.3988 0.0000 Zn
0.2550 0.8988 0.0000 Zn
0.2705 0.3009 0.0000 Zn
0.3165 0.9918 0.0000 Zn
0.3605 0.7159 0.0000 Zn
0.3708 0.1433 0.0000 Zn
0.3774 0.5715 0.0000 Zn
0.6226 0.4285 0.0000 Zn
0.6292 0.8567 0.0000 Zn
0.6395 0.2841 0.0000 Zn
0.6835 0.0082 0.0000 Zn
0.7295 0.6991 0.0000 Zn
0.7450 0.1012 0.0000 Zn
0.7550 0.6012 0.0000 Zn
0.7705 0.1991 0.0000 Zn
0.8165 0.5082 0.0000 Zn
0.8605 0.7841 0.0000 Zn
0.8708 0.3567 0.0000 Zn
0.8774 0.9285 0.0000 Zn
0.0000 0.0000 0.5000 Pt
0.0059 0.1443 0.5000 Pt
0.0382 0.5673 0.5000 Pt
0.0392 0.7191 0.5000 Pt
0.4608 0.2191 0.5000 Pt
0.4618 0.0673 0.5000 Pt
0.4941 0.6443 0.5000 Pt
0.5000 0.5000 0.5000 Pt
0.5059 0.3557 0.5000 Pt
0.5382 0.9327 0.5000 Pt
0.5392 0.7809 0.5000 Pt
0.9608 0.2809 0.5000 Pt
0.9618 0.4327 0.5000 Pt
0.9941 0.8557 0.5000 Pt
```

---

Crystalline ZnPt4 at its relaxed geometry, computed with PBE.

## Properties
Energy of formation: -240 meV per atom
Energy above the most stable polymorph in this dataset: 0 kJ/mol of formula units
Crystal system: tetragonal

Cell and atoms, written as POSCAR:
```
ZnPt4
1.0
-3.1066 3.1066 1.9900
3.1066 -3.1066 1.9900
3.1066 3.1066 -1.9900
Zn Pt
1 4
direct
0.0000 0.0000 0.0000 Zn
0.1998 0.6051 0.8049 Pt
0.3949 0.1998 0.5948 Pt
0.6051 0.8002 0.4052 Pt
0.8002 0.3949 0.1951 Pt
```

---

Crystalline ZnPt at its relaxed geometry, computed with PBE.

## Properties
Energy of formation: -495 meV per atom
Crystal system: monoclinic

Cell and atoms, written as POSCAR:
```
ZnPt
1.0
4.8493 -1.4255 0.0000
4.8493 1.4255 0.0000
-1.4661 0.0000 4.2928
Zn Pt
2 2
direct
0.1207 0.1207 0.2954 Zn
0.8793 0.8793 0.7046 Zn
0.3772 0.3772 0.2064 Pt
0.6228 0.6228 0.7936 Pt
```

---

Crystalline ZnPt at its relaxed geometry, computed with PBE.

## Properties
Energy of formation: -322 meV per atom
Crystal system: tetragonal

Cell and atoms, written as POSCAR:
```
ZnPt
1.0
7.5436 0.0000 0.0000
0.0000 7.5436 0.0000
0.0000 0.0000 4.5396
Zn Pt
8 8
direct
0.0685 0.2704 0.0000 Zn
0.2296 0.4315 0.5000 Zn
0.2704 0.9315 0.0000 Zn
0.4315 0.7704 0.5000 Zn
0.5685 0.2296 0.5000 Zn
0.7296 0.0685 0.0000 Zn
0.7704 0.5685 0.5000 Zn
0.9315 0.7296 0.0000 Zn
0.0921 0.7561 0.5000 Pt
0.2439 0.0921 0.5000 Pt
0.2561 0.5921 0.0000 Pt
0.4079 0.2561 0.0000 Pt
0.5921 0.7439 0.0000 Pt
0.7439 0.4079 0.0000 Pt
0.7561 0.9079 0.5000 Pt
0.9079 0.2439 0.5000 Pt
```

---

Crystalline Zn4Pt5 at its relaxed geometry, computed with PBE.

## Properties
Energy of formation: -388 meV per atom
Energy above the most stable polymorph in this dataset: 5 kJ/mol of formula units
Crystal system: hexagonal

Cell and atoms, written as POSCAR:
```
Zn4Pt5
1.0
7.5791 0.0000 0.0000
-3.7895 6.5637 0.0000
0.0000 0.0000 5.4453
Zn Pt
8 10
direct
0.0000 0.0000 0.0000 Zn
0.0000 0.0000 0.5000 Zn
0.0000 0.3617 0.2500 Zn
0.0000 0.6383 0.7500 Zn
0.3617 0.0000 0.2500 Zn
0.3617 0.3617 0.7500 Zn
0.6383 0.0000 0.7500 Zn
0.6383 0.6383 0.2500 Zn
0.0000 0.3030 0.7500 Pt
0.0000 0.6970 0.2500 Pt
0.3030 0.0000 0.7500 Pt
0.3030 0.3030 0.2500 Pt
0.3333 0.6667 0.0000 Pt
0.3333 0.6667 0.5000 Pt
0.6667 0.3333 0.0000 Pt
0.6667 0.3333 0.5000 Pt
0.6970 0.0000 0.2500 Pt
0.6970 0.6970 0.7500 Pt
```

---

Crystalline ZnPt3 at its relaxed geometry, computed with PBE.

## Properties
Energy of formation: -266 meV per atom
Crystal system: orthorhombic

Cell and atoms, written as POSCAR:
```
ZnPt3
1.0
4.5994 0.0000 0.0000
0.0000 5.5881 0.0000
0.0000 0.0000 4.7696
Zn Pt
2 6
direct
0.2500 0.2500 0.1686 Zn
0.7500 0.7500 0.8314 Zn
0.2500 0.0057 0.6685 Pt
0.2500 0.4943 0.6685 Pt
0.2500 0.7500 0.1695 Pt
0.7500 0.2500 0.8305 Pt
0.7500 0.5057 0.3315 Pt
0.7500 0.9943 0.3315 Pt
```

---

Crystalline ZnPt at its relaxed geometry, computed with PBE.

## Properties
Energy of formation: -237 meV per atom
Crystal system: hexagonal

Cell and atoms, written as POSCAR:
```
ZnPt
1.0
4.2506 0.0000 0.0000
-2.1253 3.6811 0.0000
0.0000 0.0000 7.9953
Zn Pt
4 4
direct
0.0000 0.0000 0.2500 Zn
0.0000 0.0000 0.7500 Zn
0.3333 0.6667 0.2500 Zn
0.6667 0.3333 0.7500 Zn
0.3333 0.6667 0.5809 Pt
0.3333 0.6667 0.9191 Pt
0.6667 0.3333 0.0809 Pt
0.6667 0.3333 0.4191 Pt
```

---

Crystalline Zn5Pt3 at its relaxed geometry, computed with PBE.

## Properties
Energy of formation: -470 meV per atom
Energy above the most stable polymorph in this dataset: 0 kJ/mol of formula units
Crystal system: orthorhombic

Cell and atoms, written as POSCAR:
```
Zn5Pt3
1.0
3.6943 -3.8954 0.0000
3.6943 3.8954 0.0000
0.0000 0.0000 4.0685
Zn Pt
5 3
direct
0.0000 0.0000 0.0000 Zn
0.0000 0.5000 0.0000 Zn
0.2803 0.7197 0.5000 Zn
0.5000 0.0000 0.0000 Zn
0.7197 0.2803 0.5000 Zn
0.2149 0.2149 0.5000 Pt
0.5000 0.5000 0.0000 Pt
0.7851 0.7851 0.5000 Pt
```

---

Crystalline Zn3Pt at its relaxed geometry, computed with PBE.

## Properties
Energy of formation: -399 meV per atom
Crystal system: tetragonal

Cell and atoms, written as POSCAR:
```
Zn3Pt
1.0
-1.9029 1.9029 3.9953
1.9029 -1.9029 3.9953
1.9029 1.9029 -3.9953
Zn Pt
3 1
direct
0.0000 0.0000 0.0000 Zn
0.2500 0.7500 0.5000 Zn
0.7500 0.2500 0.5000 Zn
0.5000 0.5000 0.0000 Pt
```

---

Crystalline ZnPt at its relaxed geometry, computed with PBE.

## Properties
Energy of formation: -253 meV per atom
Crystal system: hexagonal

Cell and atoms, written as POSCAR:
```
ZnPt
1.0
7.1286 0.0000 0.0000
-3.5643 6.1736 0.0000
0.0000 0.0000 4.5521
Zn Pt
6 6
direct
0.0658 0.2774 0.2500 Zn
0.2116 0.9342 0.2500 Zn
0.2774 0.2116 0.7500 Zn
0.7226 0.7884 0.2500 Zn
0.7884 0.0658 0.7500 Zn
0.9342 0.7226 0.7500 Zn
0.0992 0.4578 0.7500 Pt
0.3586 0.9008 0.7500 Pt
0.4578 0.3586 0.2500 Pt
0.5422 0.6414 0.7500 Pt
0.6414 0.0992 0.2500 Pt
0.9008 0.5422 0.2500 Pt
```

---

Crystalline Zn2Pt at its relaxed geometry, computed with PBE.

## Properties
Energy of formation: -430 meV per atom
Crystal system: orthorhombic

Cell and atoms, written as POSCAR:
```
Zn2Pt
1.0
-1.4117 1.8901 4.1015
1.4117 -1.8901 4.1015
1.4117 1.8901 -4.1015
Zn Pt
2 1
direct
0.1645 0.1645 0.0000 Zn
0.8355 0.8355 0.0000 Zn
0.5000 0.5000 0.0000 Pt
```

---

Crystalline Zn2Pt13 at its relaxed geometry, computed with PBE.

## Properties
Energy of formation: -80 meV per atom
Crystal system: triclinic

Cell and atoms, written as POSCAR:
```
Zn2Pt13
1.0
6.7239 0.0000 0.0000
-0.2239 6.7301 0.0000
-3.0679 -3.4509 5.2714
Zn Pt
2 13
direct
0.1558 0.1919 0.2508 Zn
0.8442 0.8081 0.7492 Zn
0.0567 0.7420 0.1305 Pt
0.1030 0.4128 0.6464 Pt
0.2037 0.0429 0.6979 Pt
0.3357 0.8727 0.9991 Pt
0.3794 0.6585 0.5697 Pt
0.4092 0.5257 0.1469 Pt
0.5000 0.0000 0.5000 Pt
0.5908 0.4743 0.8531 Pt
0.6206 0.3415 0.4303 Pt
0.6643 0.1273 0.0009 Pt
0.7963 0.9571 0.3021 Pt
0.8970 0.5872 0.3536 Pt
0.9433 0.2580 0.8695 Pt
```

---

Crystalline Zn2Pt at its relaxed geometry, computed with PBE.

## Properties
Energy of formation: -337 meV per atom
Crystal system: tetragonal

Cell and atoms, written as POSCAR:
```
Zn2Pt
1.0
-1.4379 1.4379 5.4224
1.4379 -1.4379 5.4224
1.4379 1.4379 -5.4224
Zn Pt
2 1
direct
0.1614 0.1614 0.0000 Zn
0.8386 0.8386 0.0000 Zn
0.5000 0.5000 0.0000 Pt
```

---

Crystalline ZnPt at its relaxed geometry, computed with PBE.

## Properties
Energy of formation: -419 meV per atom
Crystal system: orthorhombic

Cell and atoms, written as POSCAR:
```
ZnPt
1.0
-1.4553 2.1859 4.6801
1.4553 -2.1859 4.6801
1.4553 2.1859 -4.6801
Zn Pt
2 2
direct
0.3735 0.1235 0.2500 Zn
0.6265 0.8765 0.7500 Zn
0.1338 0.3838 0.7500 Pt
0.8662 0.6162 0.2500 Pt
```

---

Crystalline ZnPt at its relaxed geometry, computed with PBE.

## Properties
Energy of formation: 368 meV per atom
Crystal system: cubic

Cell and atoms, written as POSCAR:
```
ZnPt
1.0
6.9421 0.0000 0.0000
0.0000 6.9421 0.0000
0.0000 0.0000 6.9421
Zn Pt
6 6
direct
0.0000 0.2500 0.5000 Zn
0.0000 0.7500 0.5000 Zn
0.2500 0.5000 0.0000 Zn
0.5000 0.0000 0.2500 Zn
0.5000 0.0000 0.7500 Zn
0.7500 0.5000 0.0000 Zn
0.0000 0.5000 0.2500 Pt
0.0000 0.5000 0.7500 Pt
0.2500 0.0000 0.5000 Pt
0.5000 0.2500 0.0000 Pt
0.5000 0.7500 0.0000 Pt
0.7500 0.0000 0.5000 Pt
```

---

Crystalline Zn4Pt5 at its relaxed geometry, computed with PBE.

## Properties
Energy of formation: -393 meV per atom
Energy above the most stable polymorph in this dataset: 0 kJ/mol of formula units
Crystal system: tetragonal

Cell and atoms, written as POSCAR:
```
Zn4Pt5
1.0
-4.1098 4.1098 2.0292
4.1098 -4.1098 2.0292
4.1098 4.1098 -2.0292
Zn Pt
4 5
direct
0.0000 0.3183 0.3183 Zn
0.0000 0.6817 0.6817 Zn
0.3183 0.0000 0.3183 Zn
0.6817 0.0000 0.6817 Zn
0.0000 0.0000 0.0000 Pt
0.3302 0.3302 0.6604 Pt
0.3302 0.6698 0.0000 Pt
0.6698 0.3302 0.0000 Pt
0.6698 0.6698 0.3396 Pt
```

---

Crystalline Zn3Pt7 at its relaxed geometry, computed with PBE.

## Properties
Energy of formation: -383 meV per atom
Crystal system: monoclinic

Cell and atoms, written as POSCAR:
```
Zn3Pt7
1.0
7.0828 -1.9811 0.0000
7.0828 1.9811 0.0000
-1.3600 0.0000 5.3819
Zn Pt
3 7
direct
0.0000 0.0000 0.0000 Zn
0.1967 0.1967 0.6060 Zn
0.8033 0.8033 0.3940 Zn
0.0000 0.0000 0.5000 Pt
0.2023 0.2023 0.1102 Pt
0.3953 0.3953 0.6916 Pt
0.4013 0.4013 0.1933 Pt
0.5987 0.5987 0.8067 Pt
0.6047 0.6047 0.3084 Pt
0.7977 0.7977 0.8898 Pt
```

---

Crystalline ZnPt3 at its relaxed geometry, computed with PBE.

## Properties
Energy of formation: -303 meV per atom
Crystal system: tetragonal

Cell and atoms, written as POSCAR:
```
ZnPt3
1.0
2.7919 0.0000 0.0000
0.0000 2.7919 0.0000
0.0000 0.0000 7.7681
Zn Pt
1 3
direct
0.0000 0.0000 0.0000 Zn
0.0000 0.0000 0.5000 Pt
0.5000 0.5000 0.2355 Pt
0.5000 0.5000 0.7645 Pt
```

---

Crystalline ZnPt at its relaxed geometry, computed with PBE.

## Properties
Energy of formation: -186 meV per atom
Crystal system: hexagonal

Cell and atoms, written as POSCAR:
```
ZnPt
1.0
3.8836 0.0000 0.0000
-1.9418 3.3633 0.0000
0.0000 0.0000 5.0241
Zn Pt
2 2
direct
0.0000 0.0000 0.0000 Zn
0.0000 0.0000 0.5000 Zn
0.3333 0.6667 0.2500 Pt
0.6667 0.3333 0.7500 Pt
```

---

Crystalline Zn2Pt at its relaxed geometry, computed with PBE.

## Properties
Energy of formation: -385 meV per atom
Crystal system: monoclinic

Cell and atoms, written as POSCAR:
```
Zn2Pt
1.0
4.9122 -1.4213 0.0000
4.9122 1.4213 0.0000
-1.5130 0.0000 6.4046
Zn Pt
4 2
direct
0.0000 0.0000 0.0000 Zn
0.0647 0.0647 0.5976 Zn
0.3774 0.3774 0.2969 Zn
0.7245 0.7245 0.9354 Zn
0.3487 0.3487 0.6889 Pt
0.6513 0.6513 0.3038 Pt
```

---

Crystalline ZnPt6 at its relaxed geometry, computed with PBE.

## Properties
Energy of formation: 852 meV per atom
Crystal system: cubic

Cell and atoms, written as POSCAR:
```
ZnPt6
1.0
-3.5237 3.5237 3.5237
3.5237 -3.5237 3.5237
3.5237 3.5237 -3.5237
Zn Pt
1 6
direct
0.0000 0.0000 0.0000 Zn
0.2500 0.5000 0.7500 Pt
0.2500 0.7500 0.5000 Pt
0.5000 0.2500 0.7500 Pt
0.5000 0.7500 0.2500 Pt
0.7500 0.2500 0.5000 Pt
0.7500 0.5000 0.2500 Pt
```

---

Number 1: N(E_F) 0.310 states/eV/atom. Number 2: N(E_F) 0.432 states/eV/atom. Number 3: N(E_F) 0.274 states/eV/atom. Number 4: N(E_F) 1.335 states/eV/atom. Number 5: N(E_F) 0.305 states/eV/atom. Number 6: N(E_F) 0.472 states/eV/atom. Number 7: N(E_F) 0.466 states/eV/atom. Number 8: N(E_F) 1.231 states/eV/atom. Number 9: N(E_F) 0.450 states/eV/atom. Number 10: N(E_F) 0.186 states/eV/atom. Number 11: N(E_F) 0.168 states/eV/atom. Number 12: N(E_F) 0.262 states/eV/atom. Number 13: N(E_F) 0.266 states/eV/atom. Number 14: N(E_F) 1.145 states/eV/atom. Number 15: N(E_F) 0.383 states/eV/atom. Number 16: N(E_F) 0.318 states/eV/atom. Number 17: N(E_F) 0.393 states/eV/atom. Number 18: N(E_F) 0.440 states/eV/atom. Number 19: N(E_F) 0.551 states/eV/atom. Number 20: N(E_F) 0.864 states/eV/atom. Number 21: N(E_F) 0.265 states/eV/atom. Number 22: N(E_F) 0.316 states/eV/atom. Number 23: N(E_F) 1.387 states/eV/atom.